Entry 1
# SbH3O (PBE, optimized geometry)
# Magnetic moment   0.00 μB per formula unit
data_SbH3O
_chemical_formula_sum 'Sb1 H3 O1'
_symmetry_space_group_name_H-M 'P m -3 m'
_symmetry_Int_Tables_number 221
_symmetry_space_group_name_Hall '-P 4 2 3'
_cell_length_a 3.470
_cell_length_b 3.470
_cell_length_c 3.470
_cell_angle_alpha 90.00
_cell_angle_beta 90.00
_cell_angle_gamma 90.00
loop_
_atom_site_label
_atom_site_fract_x
_atom_site_fract_y
_atom_site_fract_z
_atom_site_occupancy
Sb1 0.000 0.000 0.000 1
H1 0.000 0.500 0.500 1
O1 0.500 0.500 0.500 1

***

Entry 2
# SbH3O (PBE, optimized geometry)
# Magnetic moment   0.00 μB per formula unit
data_SbH3O
_chemical_formula_sum 'Sb1 H3 O1'
_symmetry_space_group_name_H-M 'P m -3 m'
_symmetry_Int_Tables_number 221
_symmetry_space_group_name_Hall '-P 4 2 3'
_cell_length_a 3.704
_cell_length_b 3.704
_cell_length_c 3.704
_cell_angle_alpha 90.00
_cell_angle_beta 90.00
_cell_angle_gamma 90.00
loop_
_atom_site_label
_atom_site_fract_x
_atom_site_fract_y
_atom_site_fract_z
_atom_site_occupancy
Sb1 0.000 0.000 0.000 1
H1 0.000 0.000 0.500 1
O1 0.500 0.500 0.500 1

***

Name the least stable of them. entry 1.

***

Entry 1
# Sb2HO (PBE, optimized geometry)
# Magnetic moment   0.00 μB per formula unit
data_Sb2HO
_chemical_formula_sum 'Sb8 H4 O4'
_symmetry_space_group_name_H-M 'I -4 2 d'
_symmetry_Int_Tables_number 122
_symmetry_space_group_name_Hall 'I -4 2bw'
_cell_length_a 5.255
_cell_length_b 5.255
_cell_length_c 10.279
_cell_angle_alpha 90.00
_cell_angle_beta 90.00
_cell_angle_gamma 90.00
loop_
_atom_site_label
_atom_site_fract_x
_atom_site_fract_y
_atom_site_fract_z
_atom_site_occupancy
Sb1 0.228 0.250 0.125 1
H1 0.000 0.000 0.000 1
O1 0.000 0.000 0.500 1

***

Entry 2
# Sb2HO (PBE, optimized geometry)
# Magnetic moment   0.00 μB per formula unit
data_Sb2HO
_chemical_formula_sum 'Sb8 H4 O4'
_symmetry_space_group_name_H-M 'F m -3 m'
_symmetry_Int_Tables_number 225
_symmetry_space_group_name_Hall '-F 4 2 3'
_cell_length_a 6.254
_cell_length_b 6.254
_cell_length_c 6.254
_cell_angle_alpha 90.00
_cell_angle_beta 90.00
_cell_angle_gamma 90.00
loop_
_atom_site_label
_atom_site_fract_x
_atom_site_fract_y
_atom_site_fract_z
_atom_site_occupancy
Sb1 0.250 0.250 0.250 1
H1 0.000 0.000 0.000 1
O1 0.000 0.000 0.500 1

***

Name the least stable of them. entry 2.

***

Entry 1
# Sb2HO2 (PBE, optimized geometry)
# Magnetic moment   0.00 μB per formula unit
data_Sb2HO2
_chemical_formula_sum 'Sb4 H2 O4'
_symmetry_space_group_name_H-M 'P 4/m b m'
_symmetry_Int_Tables_number 127
_symmetry_space_group_name_Hall '-P 4 2ab'
_cell_length_a 6.580
_cell_length_b 6.580
_cell_length_c 3.542
_cell_angle_alpha 90.00
_cell_angle_beta 90.00
_cell_angle_gamma 90.00
loop_
_atom_site_label
_atom_site_fract_x
_atom_site_fract_y
_atom_site_fract_z
_atom_site_occupancy
Sb1 0.204 0.296 0.000 1
H1 0.000 0.000 0.000 1
O1 0.178 0.678 0.500 1

***

Entry 2
# Sb2HO2 (PBE, optimized geometry)
# Magnetic moment   0.00 μB per formula unit
data_Sb2HO2
_chemical_formula_sum 'Sb4 H2 O4'
_symmetry_space_group_name_H-M 'I 4/m m m'
_symmetry_Int_Tables_number 139
_symmetry_space_group_name_Hall '-I 4 2'
_cell_length_a 3.712
_cell_length_b 3.712
_cell_length_c 11.389
_cell_angle_alpha 90.00
_cell_angle_beta 90.00
_cell_angle_gamma 90.00
loop_
_atom_site_label
_atom_site_fract_x
_atom_site_fract_y
_atom_site_fract_z
_atom_site_occupancy
Sb1 0.000 0.000 0.138 1
H1 0.000 0.000 0.500 1
O1 0.000 0.500 0.250 1

***

Name the least stable of them. entry 2.